No. 1
First-principles (PBE-GGA) data for a geometry-optimized HoZr4Os5 structure, as listed in Alexandria.

Values from the calculation:
- ΔE_f: -4.69 eV per formula unit
- Theoretical density: 13.6 g/cm3
- N(E_F): 0.20 states/eV/atom
- Volume: 181.2 Å³ per cell

abc: 3.2979 3.2979 16.6573
angles: 90.00 90.00 90.00
Space group P4/mmm (No. 123)
Asymmetric unit:
Ho (0.0000, 0.0000, 0.0000) (multiplicity 1)
Zr (0.0000, 0.0000, 0.2020) (multiplicity 2)
Zr (0.0000, 0.0000, 0.4008) (multiplicity 2)
Os (0.5000, 0.5000, 0.1102) (multiplicity 2)
Os (0.5000, 0.5000, 0.3044) (multiplicity 2)
Os (0.5000, 0.5000, 0.5000) (multiplicity 1)

=====

No. 2
First-principles (PBE-GGA) data for a geometry-optimized CrMoSe3 structure, as listed in Alexandria.

Values from the calculation:
- Energy relative to the elements, uncorrected: -1.678 eV per formula unit
- Theoretical density: 5.6 g/cm3
- N(E_F): 0.66 states/eV/atom
- Excess energy over the best structure of this formula in the dataset: 0.000 eV/atom
- Volume: 913.4 Å³ per cell

abc: 15.1343 11.2021 5.7268
angles: 90.00 109.81 90.00
Space group C2/c (No. 15)
Asymmetric unit:
Cr (0.0491, 0.0842, 0.4881) (multiplicity 8)
Mo (0.0000, 0.3011, 0.2500) (multiplicity 4)
Mo (0.0000, 0.4325, 0.7500) (multiplicity 4)
Se (0.1108, 0.2638, 0.6887) (multiplicity 8)
Se (0.1196, 0.0998, 0.1779) (multiplicity 8)
Se (0.1236, 0.4293, 0.1951) (multiplicity 8)

=====

No. 3
First-principles (PBE-GGA) data for a geometry-optimized Co3AgRh structure, as listed in Alexandria.

Values from the calculation:
- ΔE_f: 6.54 eV per formula unit
- Theoretical density: 6.9 g/cm3
- N(E_F): 2.34 states/eV/atom
- Excess energy over the best structure of this formula in the dataset: 0.000 eV/atom
- Volume: 93.4 Å³ per cell

abc: 4.5376 4.5376 4.5376
angles: 90.00 90.00 90.00
Space group Pm-3m (No. 221)
Asymmetric unit:
Co (0.0000, 0.0000, 0.5000) (multiplicity 3)
Ag (0.5000, 0.5000, 0.5000) (multiplicity 1)
Rh (0.0000, 0.0000, 0.0000) (multiplicity 1)

=====

No. 4
First-principles (PBE-GGA) data for a geometry-optimized Ho3PaOs8 structure, as listed in Alexandria.

Values from the calculation:
- ΔE_f: -3.57 eV per formula unit
- Theoretical density: 17.2 g/cm3
- N(E_F): 0.78 states/eV/atom
- Volume: 650.6 Å³ per cell

abc: 5.3495 5.3495 26.2514
angles: 90.00 90.00 120.00
Space group R3m (No. 160, hexagonal axes)
Asymmetric unit:
Ho (0.0000, 0.0000, 0.0000) (multiplicity 3)
Ho (0.0000, 0.0000, 0.1239) (multiplicity 3)
Ho (0.0000, 0.0000, 0.4978) (multiplicity 3)
Pa (0.0000, 0.0000, 0.6242) (multiplicity 3)
Os (0.0000, 0.0000, 0.3114) (multiplicity 3)
Os (0.0000, 0.0000, 0.8111) (multiplicity 3)
Os (0.0004, 0.5002, 0.5612) (multiplicity 9)
Os (0.0011, 0.5005, 0.0615) (multiplicity 9)

=====

No. 5
First-principles (PBE-GGA) data for a geometry-optimized Pm3GaPt2 structure, as listed in Alexandria.

Values from the calculation:
- ΔE_f: -5.51 eV per formula unit
- Theoretical density: 9.9 g/cm3
- N(E_F): 0.73 states/eV/atom
- Excess energy over the best structure of this formula in the dataset: 0.000 eV/atom
- Volume: 597.8 Å³ per cell

abc: 11.9713 4.2592 11.7237
angles: 90.00 90.00 90.00
Space group Pnma (No. 62)
Asymmetric unit:
Pm (0.0517, 0.2500, 0.1246) (multiplicity 4)
Pm (0.1256, 0.7500, 0.5692) (multiplicity 4)
Pm (0.2040, 0.2500, 0.8159) (multiplicity 4)
Ga (0.1258, 0.2500, 0.3733) (multiplicity 4)
Pt (0.0111, 0.7500, 0.3140) (multiplicity 4)
Pt (0.1798, 0.7500, 0.9900) (multiplicity 4)

=====

No. 6
First-principles (PBE-GGA) data for a geometry-optimized U2PaFeC4 structure, as listed in Alexandria.

Values from the calculation:
- ΔE_f: -1.34 eV per formula unit
- Theoretical density: 12.2 g/cm3
- N(E_F): 0.82 states/eV/atom
- Volume: 441.9 Å³ per cell

abc: 3.3867 11.4556 11.3907
angles: 90.00 90.00 90.00
Space group Cmcm (No. 63)
Asymmetric unit:
U (0.0000, 0.1342, 0.0538) (multiplicity 8)
Pa (0.0000, 0.3995, 0.2500) (multiplicity 4)
Fe (0.0000, 0.3422, 0.7500) (multiplicity 4)
C (0.0000, 0.0574, 0.2500) (multiplicity 4)
C (0.0000, 0.2265, 0.6284) (multiplicity 8)
C (0.0000, 0.5000, 0.0000) (multiplicity 4)

=====

E? In order: -99.61; -260.69; -24.98; -349.91; -139.49; -315.09 eV/cell.